No. 1
# Li6Si2Ag (PBE, relaxed)
# ΔE to the lowest computed polymorph	57.1	meV/atom
# E_form (uncorrected)	-0.17	eV/atom
# symmetry	Pnnm
data_Li6Si2Ag
_chemical_formula_sum 'Li12 Si4 Ag2'
_space_group_name_H-M_alt 'P 1'
_space_group_IT_number 1
_cell_length_a 4.275
_cell_length_b 7.848
_cell_length_c 7.970
_cell_angle_alpha 90.00
_cell_angle_beta 90.00
_cell_angle_gamma 90.00
loop_
_space_group_symop_operation_xyz
'x,y,z'
loop_
_atom_site_label
_atom_site_fract_x
_atom_site_fract_y
_atom_site_fract_z
Li1 0.000 0.977 0.182
Li2 0.000 0.670 0.557
Li3 0.000 0.683 0.884
Li4 0.500 0.183 0.616
Li5 0.500 0.170 0.943
Li6 0.500 0.477 0.318
Li7 0.000 0.023 0.818
Li8 0.000 0.330 0.443
Li9 0.000 0.317 0.116
Li10 0.500 0.817 0.384
Li11 0.500 0.830 0.057
Li12 0.500 0.523 0.682
Si1 0.000 0.357 0.785
Si2 0.500 0.857 0.715
Si3 0.500 0.143 0.285
Si4 0.000 0.643 0.215
Ag1 0.500 0.500 0.000
Ag2 0.000 0.000 0.500

---

No. 2
# CsKSr2P (PBE, relaxed)
# formation energy from the elements	-286	meV per atom
# symmetry	P4/mmm
data_CsKSr2P
_chemical_formula_sum 'Cs1 K1 Sr2 P1'
_space_group_name_H-M_alt 'P 1'
_space_group_IT_number 1
_cell_length_a 6.064
_cell_length_b 6.064
_cell_length_c 7.090
_cell_angle_alpha 90.00
_cell_angle_beta 90.00
_cell_angle_gamma 90.00
loop_
_space_group_symop_operation_xyz
'x,y,z'
loop_
_atom_site_label
_atom_site_fract_x
_atom_site_fract_y
_atom_site_fract_z
Cs1 0.500 0.500 0.500
Sr1 0.000 0.500 0.000
Sr2 0.500 0.000 0.000
K1 0.000 0.000 0.500
P1 0.000 0.000 0.000